Record 1
## PaMn4Os (PBE)

Data for a relaxed PaMn4Os crystal.

a = 4.9269 Å, b = 4.9269 Å, c = 4.9269 Å
α = 60.00°, β = 60.00°, γ = 60.00°
Atoms (fractional coordinates):
1 Pa 0.0000 0.0000 0.0000
2 Mn 0.3770 0.3770 0.3770
3 Mn 0.3770 0.3770 0.8691
4 Mn 0.3770 0.8691 0.3770
5 Mn 0.8691 0.3770 0.3770
6 Os 0.7500 0.7500 0.7500

Calculated values
- Total DFT energy (no corrections): -9.4396 eV/atom
- Space-group type: No. 216
- Mass density: 12.59 g cm⁻³
- Fermi-level density of states: 10.3 states/eV/f.u.

***

Record 2
## Tl2BIrSe (PBE)

Data for a relaxed Tl2BIrSe crystal.

a = 5.3858 Å, b = 5.3858 Å, c = 4.0331 Å
α = 90.00°, β = 90.00°, γ = 90.00°
Atoms (fractional coordinates):
1 Tl 0.0000 0.5000 0.0000
2 Tl 0.5000 0.0000 0.0000
3 B 0.0000 0.0000 0.5000
4 Ir 0.0000 0.0000 0.0000
5 Se 0.5000 0.5000 0.5000

Calculated values
- Space-group type: No. 123
- Formation energy from raw total energies: 1.468 eV per formula unit
- Mass density: 9.80 g cm⁻³
- Fermi-level density of states: 3.7 states/eV/f.u.

***

Record 3
## ErGa2Pd3 (PBE)

Data for a relaxed ErGa2Pd3 crystal.

a = 8.6902 Å, b = 8.6902 Å, c = 9.8963 Å
α = 107.17°, β = 107.17°, γ = 26.68°
Atoms (fractional coordinates):
1 Er 0.0000 0.0000 0.0000
2 Er 0.1647 0.1647 0.7071
3 Er 0.8353 0.8353 0.2929
4 Ga 0.1925 0.1925 0.1265
5 Ga 0.3622 0.3622 0.5439
6 Ga 0.4570 0.4570 0.2183
7 Ga 0.5430 0.5430 0.7817
8 Ga 0.6378 0.6378 0.4561
9 Ga 0.8075 0.8075 0.8735
10 Pd 0.0400 0.0400 0.3314
11 Pd 0.2161 0.2161 0.3917
12 Pd 0.3190 0.3190 0.0413
13 Pd 0.3885 0.3885 0.8117
14 Pd 0.5000 0.5000 0.5000
15 Pd 0.6115 0.6115 0.1883
16 Pd 0.6810 0.6810 0.9587
17 Pd 0.7839 0.7839 0.6083
18 Pd 0.9600 0.9600 0.6686

Calculated values
- Total DFT energy (no corrections): -5.1389 eV/atom
- Space-group type: No. 12
- Mass density: 9.75 g cm⁻³
- Fermi-level density of states: 2.8 states/eV/f.u.

***

Record 4
## K2CrRh2 (PBE)

Data for a relaxed K2CrRh2 crystal.

a = 6.3295 Å, b = 6.3295 Å, c = 5.6893 Å
α = 90.00°, β = 90.00°, γ = 90.00°
Atoms (fractional coordinates):
1 K 0.1770 0.3230 0.0000
2 K 0.3230 0.8230 0.0000
3 K 0.6770 0.1770 0.0000
4 K 0.8230 0.6770 0.0000
5 Cr 0.0000 0.0000 0.5000
6 Cr 0.5000 0.5000 0.5000
7 Rh 0.1441 0.6441 0.5000
8 Rh 0.3559 0.1441 0.5000
9 Rh 0.6441 0.8559 0.5000
10 Rh 0.8559 0.3559 0.5000

Calculated values
- Total DFT energy (no corrections): -4.7473 eV/atom
- Space-group type: No. 127
- Mass density: 4.90 g cm⁻³
- Fermi-level density of states: 4.9 states/eV/f.u.

***

Record 5
## DyAlGa6 (PBE)

Data for a relaxed DyAlGa6 crystal.

a = 6.7188 Å, b = 9.3231 Å, c = 6.1643 Å
α = 90.00°, β = 121.56°, γ = 90.00°
Atoms (fractional coordinates):
1 Dy 0.0000 0.0000 0.0000
2 Dy 0.5000 0.5000 0.0000
3 Al 0.0000 0.5000 0.5000
4 Al 0.5000 0.0000 0.5000
5 Ga 0.0687 0.2636 0.7648
6 Ga 0.0687 0.7364 0.7648
7 Ga 0.2257 0.0000 0.6774
8 Ga 0.2743 0.5000 0.3226
9 Ga 0.4313 0.2364 0.2352
10 Ga 0.4313 0.7636 0.2352
11 Ga 0.5687 0.2364 0.7648
12 Ga 0.5687 0.7636 0.7648
13 Ga 0.7257 0.5000 0.6774
14 Ga 0.7743 0.0000 0.3226
15 Ga 0.9313 0.2636 0.2352
16 Ga 0.9313 0.7364 0.2352

Calculated values
- Space-group type: No. 12
- Mass density: 6.14 g cm⁻³
- Fermi-level density of states: 3.9 states/eV/f.u.
- E above lowest polymorph: 0.102 eV per atom

***

Record 6
## BeBiHPb (PBE)

Data for a relaxed BeBiHPb crystal.

a = 4.4235 Å, b = 4.4235 Å, c = 4.9754 Å
α = 90.00°, β = 90.00°, γ = 120.00°
Atoms (fractional coordinates):
1 Be 0.0000 0.0000 0.0000
2 Bi 0.6667 0.3333 0.8376
3 H 0.0000 0.0000 0.7170
4 Pb 0.3333 0.6667 0.2795

Calculated values
- Space-group type: No. 156
- Mass density: 8.39 g cm⁻³
- Fermi-level density of states: 0.1 states/eV/f.u.
- E above lowest polymorph: 0.115 eV per atom

***

Record 7
## Pm6Y12Tm (PBE)

Data for a relaxed Pm6Y12Tm crystal.

a = 8.7179 Å, b = 8.7179 Å, c = 8.7179 Å
α = 79.66°, β = 79.66°, γ = 79.66°
Atoms (fractional coordinates):
1 Pm 0.2695 0.2695 0.6618
2 Pm 0.2695 0.6618 0.2695
3 Pm 0.3382 0.7305 0.7305
4 Pm 0.6618 0.2695 0.2695
5 Pm 0.7305 0.3382 0.7305
6 Pm 0.7305 0.7305 0.3382
7 Y 0.0133 0.3638 0.3638
8 Y 0.0150 0.0150 0.6955
9 Y 0.0150 0.6955 0.0150
10 Y 0.3045 0.9850 0.9850
11 Y 0.3638 0.0133 0.3638
12 Y 0.3638 0.3638 0.0133
13 Y 0.6362 0.6362 0.9867
14 Y 0.6362 0.9867 0.6362
15 Y 0.6955 0.0150 0.0150
16 Y 0.9850 0.3045 0.9850
17 Y 0.9850 0.9850 0.3045
18 Y 0.9867 0.6362 0.6362
19 Tm 0.5000 0.5000 0.5000

Calculated values
- Space-group type: No. 166
- Mass density: 5.52 g cm⁻³
- Fermi-level density of states: 30.7 states/eV/f.u.
- E above lowest polymorph: 0.000 eV per atom

***

Record 8
## Sr2CaRe2N6 (PBE)

Data for a relaxed Sr2CaRe2N6 crystal.

a = 7.2241 Å, b = 7.2241 Å, c = 7.2241 Å
α = 50.58°, β = 50.58°, γ = 50.58°
Atoms (fractional coordinates):
1 Sr 0.1983 0.1983 0.1983
2 Sr 0.8017 0.8017 0.8017
3 Ca 0.0000 0.0000 0.0000
4 Re 0.4316 0.4316 0.4316
5 Re 0.5684 0.5684 0.5684
6 N 0.2474 0.7468 0.7468
7 N 0.2532 0.2532 0.7526
8 N 0.2532 0.7526 0.2532
9 N 0.7468 0.2474 0.7468
10 N 0.7468 0.7468 0.2474
11 N 0.7526 0.2532 0.2532

Calculated values
- Space-group type: No. 166
- Formation energy from raw total energies: -5.762 eV per formula unit
- Mass density: 5.38 g cm⁻³